A plane-wave DFT calculation with PBE was carried out for SrMg2Tc after structural relaxation.

a b c (Å): 6.266 6.266 6.266
angles (deg): 148.62 129.96 60.26
Fractional positions:
Tc1 0.250 0.750 0.500
Mg1 0.044 0.044 0.000
Mg2 0.456 0.456 0.000
Sr1 0.750 0.250 0.500

Computed properties:
The energy above the lowest structure with this stoichiometry comes out at 85 meV per atom. The calculation puts the energy at -0.24718 Ry/atom. As for the space-group type: Immm (71). Its formation enthalpy at 0 K is 0.446 eV/atom.